w) Here is a geometry-optimized TlSbCl2 structure from the Alexandria database. Energies are from PBEsol. Values from VASP.

- Space-group type: P4/mmm
- Mass density: 6.86 Mg/m³
- Spin magnetization: 0.000 μB/atom

Cell and atoms, written as Quantum ESPRESSO input:
```
&SYSTEM
  ibrav = 0, nat = 4, ntyp = 3
/
ATOMIC_SPECIES
Tl 204.38 Tl.upf
Sb 121.76 Sb.upf
Cl 35.45 Cl.upf
CELL_PARAMETERS angstrom
3.3212 0.0000 0.0000
0.0000 3.3212 0.0000
0.0000 0.0000 8.7192
ATOMIC_POSITIONS crystal
Tl 0.0000 0.0000 0.0000
Sb 0.0000 0.0000 0.5000
Cl 0.5000 0.5000 0.2414
Cl 0.5000 0.5000 0.7586
```

---

x) Here is a geometry-optimized TlSbCl2 structure from the Alexandria database. Energies are from PBEsol. Values from VASP.

- Space-group type: Cmmm
- Mass density: 6.79 Mg/m³
- Spin magnetization: 0.000 μB/atom

Cell and atoms, written as Quantum ESPRESSO input:
```
&SYSTEM
  ibrav = 0, nat = 4, ntyp = 3
/
ATOMIC_SPECIES
Tl 204.38 Tl.upf
Sb 121.76 Sb.upf
Cl 35.45 Cl.upf
CELL_PARAMETERS angstrom
3.8066 -3.8384 0.0000
3.8066 3.8384 0.0000
0.0000 0.0000 3.3233
ATOMIC_POSITIONS crystal
Tl 0.0000 0.0000 0.0000
Sb 0.5000 0.5000 0.0000
Cl 0.0000 0.5000 0.5000
Cl 0.5000 0.0000 0.5000
```

---

y) Here is a geometry-optimized TlSbCl2 structure from the Alexandria database. Energies are from PBEsol. Values from VASP.

- Space-group type: F-43m
- Mass density: 7.08 Mg/m³
- Spin magnetization: 0.000 μB/atom

Cell and atoms, written as Quantum ESPRESSO input:
```
&SYSTEM
  ibrav = 0, nat = 4, ntyp = 3
/
ATOMIC_SPECIES
Tl 204.38 Tl.upf
Sb 121.76 Sb.upf
Cl 35.45 Cl.upf
CELL_PARAMETERS angstrom
0.0000 3.5984 3.5984
3.5984 0.0000 3.5984
3.5984 3.5984 0.0000
ATOMIC_POSITIONS crystal
Tl 0.0000 0.0000 0.0000
Sb 0.2500 0.2500 0.2500
Cl 0.5000 0.5000 0.5000
Cl 0.7500 0.7500 0.7500
```

---

Energies in eV/atom, measured from the most stable structure: w) 0.000; x) 0.046; y) 0.256.

---

w) Here is a geometry-optimized ZnSb2Cl structure from the Alexandria database. Energies are from PBEsol. Values from VASP.

- Space-group type: Fm-3m
- Mass density: 6.70 Mg/m³
- Spin magnetization: 0.000 μB/atom

Cell and atoms, written as Quantum ESPRESSO input:
```
&SYSTEM
  ibrav = 0, nat = 4, ntyp = 3
/
ATOMIC_SPECIES
Zn 65.41 Zn.upf
Sb 121.76 Sb.upf
Cl 35.45 Cl.upf
CELL_PARAMETERS angstrom
0.0000 3.4952 3.4952
3.4952 0.0000 3.4952
3.4952 3.4952 0.0000
ATOMIC_POSITIONS crystal
Zn 0.0000 0.0000 0.0000
Sb 0.2500 0.2500 0.2500
Sb 0.7500 0.7500 0.7500
Cl 0.5000 0.5000 0.5000
```

---

x) Here is a geometry-optimized ZnSb2Cl structure from the Alexandria database. Energies are from PBEsol. Values from VASP.

- Space-group type: Pmmm
- Mass density: 6.47 Mg/m³
- Spin magnetization: 0.000 μB/atom

Cell and atoms, written as Quantum ESPRESSO input:
```
&SYSTEM
  ibrav = 0, nat = 4, ntyp = 3
/
ATOMIC_SPECIES
Zn 65.41 Zn.upf
Sb 121.76 Sb.upf
Cl 35.45 Cl.upf
CELL_PARAMETERS angstrom
3.3293 0.0000 0.0000
0.0000 3.4384 0.0000
0.0000 0.0000 7.7210
ATOMIC_POSITIONS crystal
Zn 0.0000 0.0000 0.0000
Sb 0.5000 0.5000 0.2133
Sb 0.5000 0.5000 0.7867
Cl 0.0000 0.0000 0.5000
```

---

Energies in eV/atom, measured from the most stable structure: w) 0.109; x) 0.000.